Density functional theory data (PBE-GGA) for Nd4CCl3F2 after structural relaxation.

a b c (Å): 15.9498 3.8250 8.0278
angles (deg): 90.00 105.93 90.00
Space group C2/m (No. 12)
Inequivalent atoms, fractional coordinates:
Nd 0.0108 0.0000 0.2913 (multiplicity 4)
Nd 0.1602 0.5000 0.6032 (multiplicity 4)
C 0.0000 0.5000 0.5000 (multiplicity 2)
Cl 0.0000 0.5000 0.0000 (multiplicity 2)
Cl 0.1733 0.0000 0.8604 (multiplicity 4)
F 0.1785 0.0000 0.4149 (multiplicity 4)

The electronic total energy comes out at -5.82 eV per atom.


Density functional theory data (PBE-GGA) for GdTcAs after structural relaxation.

a b c (Å): 6.5769 6.5769 6.5769
angles (deg): 90.00 90.00 90.00
Space group F-43m (No. 216)
Inequivalent atoms, fractional coordinates:
Gd 0.0000 0.0000 0.0000 (multiplicity 4)
Tc 0.2500 0.2500 0.2500 (multiplicity 4)
As 0.2500 0.2500 0.7500 (multiplicity 4)

The energy above the most stable polymorph in this dataset comes out at 0.867 eV/atom.


Density functional theory data (PBE-GGA) for Nd2ZnCoIr after structural relaxation.

a b c (Å): 4.2402 8.6503 5.6700
angles (deg): 90.00 90.00 90.00
Space group Imm2 (No. 44)
Inequivalent atoms, fractional coordinates:
Nd 0.0000 0.2081 0.0000 (multiplicity 4)
Zn 0.0000 0.0000 0.4905 (multiplicity 2)
Co 0.0000 0.5000 0.7302 (multiplicity 2)
Ir 0.0000 0.5000 0.2956 (multiplicity 2)

As for the calculated formation energy: -417 meV/atom.


Density functional theory data (PBE-GGA) for MoS3 after structural relaxation.

a b c (Å): 4.9496 3.2267 9.3887
angles (deg): 90.00 100.16 90.00
Space group P2_1/m (No. 11)
Inequivalent atoms, fractional coordinates:
Mo 0.2387 0.2500 0.3461 (multiplicity 2)
S 0.0413 0.2500 0.8151 (multiplicity 2)
S 0.2600 0.7500 0.5454 (multiplicity 2)
S 0.4006 0.7500 0.1767 (multiplicity 2)

The electronic total energy comes out at -6.09 eV per atom.


Density functional theory data (PBE-GGA) for YCuBPd after structural relaxation.

a b c (Å): 6.3228 6.3228 6.3228
angles (deg): 90.00 90.00 90.00
Space group F-43m (No. 216)
Inequivalent atoms, fractional coordinates:
Y 0.0000 0.0000 0.0000 (multiplicity 4)
Cu 0.0000 0.0000 0.5000 (multiplicity 4)
B 0.2500 0.2500 0.2500 (multiplicity 4)
Pd 0.2500 0.2500 0.7500 (multiplicity 4)

The energy above the most stable polymorph in this dataset comes out at 0.000 eV/atom.


Density functional theory data (PBE-GGA) for LaPuRe after structural relaxation.

a b c (Å): 6.4840 6.4840 6.4840
angles (deg): 90.00 90.00 90.00
Space group F-43m (No. 216)
Inequivalent atoms, fractional coordinates:
La 0.0000 0.0000 0.0000 (multiplicity 4)
Pu 0.2500 0.2500 0.2500 (multiplicity 4)
Re 0.0000 0.0000 0.5000 (multiplicity 4)

As for the calculated formation energy: 839 meV/atom.